## HfZr2Ni2As4Pd2 (PBE)

Data for a geometry-optimized HfZr2Ni2As4Pd2 structure.

a = 6.5141 Å, b = 3.8881 Å, c = 7.5542 Å
α = 90.00°, β = 90.04°, γ = 90.00°
Closest atoms and distances in Å follow each position.
Atoms (fractional coordinates):
Hf  0.0000  0.0000  0.0000  5 As 2.63-2.81
Zr  0.4312  0.5000  0.5100  5 As 2.77-2.86, 2 Pd 2.91, 3 Ni 2.92-3.00
Zr  0.5033  0.0000  0.1396  5 As 2.74-2.84, 3 Pd 2.89-3.04, 2 Ni 2.98
Ni  0.1157  0.0000  0.3783  4 As 2.42-2.54
Ni  0.3217  0.5000  0.8850  4 As 2.45-2.63
As  0.1887  0.0000  0.6927  3 Ni 2.42-2.58, 1 Hf 2.63, 1 Pd 2.64
As  0.2133  0.5000  0.1951  3 Ni 2.45-2.47, 1 Pd 2.56
As  0.7204  0.5000  0.9387  3 Pd 2.51-2.59, 1 Ni 2.63, 2 Hf 2.70
As  0.7368  0.0000  0.4573  3 Pd 2.48-2.51, 1 Ni 2.54
Pd  0.5856  0.0000  0.7632  4 As 2.51-2.64, 2 Ni 2.75
Pd  0.8290  0.5000  0.2685  4 As 2.48-2.59

## Properties
Uncorrected energy, eV per atom: -6.8877
Energy above the most stable polymorph in this dataset, meV per atom: 35